Computed, not measured: crystalline Mn2SbO at its relaxed geometry at the PBEsol level of DFT.

* ΔE_f (raw): 202 meV/atom
* ρ: 7.5 Mg/m³
* V: 13.6 A^3/atom
* space-group type: No. 225
* DOS(E_F): 0.638 states/eV per atom
* E_tot: -28.52 eV per cell

a = 4.258 Å, b = 4.258 Å, c = 4.258 Å
α = 60.00°, β = 60.00°, γ = 60.00°
Element x y z (fractional)
Mn  0.250  0.250  0.250
Mn  0.750  0.750  0.750
Sb  0.500  0.500  0.500
O  0.000  0.000  0.000